Below is a relaxed Er2HF6 crystal, with properties calculated at the PBE level.

Unit cell a=7.917 b=3.605 c=6.984 alpha=90.00 beta=92.49 gamma=90.00
Space group C2/m (No. 12)
Unique sites:
Er (0.242, 0.000, 0.255) x4
H (0.000, 0.000, 0.000) x2
F (0.055, 0.000, 0.723) x4
F (0.158, 0.500, 0.432) x4
F (0.164, 0.500, 0.067) x4

Values from the calculation:
As for the volume: 11.064 Å³/atom. Its energy is -5.963 eV per atom. The calculation puts the density of states at the Fermi level at 0.0 states/eV/f.u.


Below is a relaxed ErHF crystal, with properties calculated at the PBE level.

Unit cell a=3.4710 b=3.4710 c=5.1473 alpha=90.00 beta=90.00 gamma=120.00
Space group P3m1 (No. 156)
Unique sites:
Er (0.0000, 0.0000, 0.0000) x1
H (0.3333, 0.6667, 0.8614) x1
F (0.6667, 0.3333, 0.2296) x1

Values from the calculation:
As for the volume: 17.902 Å³/atom. The energy above the most stable polymorph in this dataset is 0.172 eV/atom. The calculation puts the density of states at the Fermi level at 0.2 states/eV/f.u.


| no. | total moment (Bohr magnetons per cell) |
| --- | --- |
| 1 | 2.00 |
| 2 | 1.01 |